1) NaMnBiOs: optimized geometry, PBE.

The structure in extended XYZ format:
```
8
Lattice="3.073 0.000 0.000 0.000 3.041 0.000 0.000 0.000 17.611" Properties=species:S:1:pos:R:3 pbc="T T T"
Na 0.000 0.000 17.449
Na 0.000 1.520 8.643
Mn 0.000 0.000 3.348
Mn 0.000 1.520 12.153
Bi 1.537 0.000 5.818
Bi 1.537 1.520 14.623
Os 1.537 0.000 10.905
Os 1.537 1.520 2.100
```

Properties
The symmetry is Amm2 (38).

***

2) NaMnBiOs: optimized geometry, PBE.

The structure in extended XYZ format:
```
4
Lattice="3.502 0.159 -0.281 -0.258 5.929 0.143 -1.302 -2.529 4.354" Properties=species:S:1:pos:R:3 pbc="T T T"
Na -0.917 -2.301 4.156
Mn 0.378 3.728 1.687
Bi 0.636 0.570 3.119
Os 2.192 2.165 1.403
```

Properties
The symmetry is Cm (8).

***

The winner here is 1), beating the second structure by 204 meV/atom.